## HfRe2Bi2 (PBE-GGA)

Data for crystalline HfRe2Bi2 at its relaxed geometry.

Cell: 8.0311 8.0311 3.2020 Å, 90.00 90.00 90.00°
Last column: nearest neighbours and their distance in Å.
Sites, in units of the cell vectors:
Bi: 0.3476 0.8476 0.0000  6 Re 2.81-2.87, 2 Hf 3.05
Re: 0.3559 0.1441 0.5000  6 Bi 2.81-2.87
Re: 0.1441 0.6441 0.5000  6 Bi 2.81-2.87
Bi: 0.8476 0.6524 0.0000  6 Re 2.81-2.87, 2 Hf 3.05
Re: 0.8559 0.3559 0.5000  6 Bi 2.81-2.87
Hf: 0.5000 0.5000 0.0000  4 Bi 3.05, 2 Hf 3.20
Bi: 0.6524 0.1524 0.0000  6 Re 2.81-2.87, 2 Hf 3.05
Hf: 0.0000 0.0000 0.0000  4 Bi 3.05, 2 Hf 3.20
Bi: 0.1524 0.3476 0.0000  6 Re 2.81-2.87, 2 Hf 3.05
Re: 0.6441 0.8559 0.5000  6 Bi 2.81-2.87

Summary:
symmetry	P4/mbm
relative energy among the computed polymorphs	130	meV/atom
N(E_F)	14.68	states/eV/cell
total magnetization	0.0	μB/cell

## Hf2ReBi (PBE-GGA)

Data for crystalline Hf2ReBi at its relaxed geometry.

Cell: 4.3132 4.3132 10.2662 Å, 77.87 77.87 90.00°
Last column: nearest neighbours and their distance in Å.
Sites, in units of the cell vectors:
Hf: 0.8750 0.8673 0.7500  2 Re 2.87, 2 Bi 2.90, 4 Hf 3.00-3.10
Re: 0.5000 0.5000 0.0000  4 Hf 2.87, 4 Bi 3.05
Hf: 0.3750 0.3827 0.7500  2 Re 2.87, 2 Bi 2.90, 4 Hf 3.00-3.10
Hf: 0.6173 0.1250 0.2500  2 Re 2.87, 2 Bi 2.90, 4 Hf 3.00-3.10
Re: 0.2500 0.7500 0.5000  4 Hf 2.87, 4 Bi 3.05
Hf: 0.1327 0.6250 0.2500  2 Re 2.87, 2 Bi 2.90, 4 Hf 3.00-3.10
Bi: 0.0000 0.0000 0.0000  4 Hf 2.90, 4 Re 3.05
Bi: 0.7500 0.2500 0.5000  4 Hf 2.90, 4 Re 3.05

Summary:
symmetry	I-42d
N(E_F)	8.75	states/eV/cell
total magnetization	0.7	μB/cell
VASP energy	-8.2836	eV per atom

## Hf3ReBi (PBE-GGA)

Data for crystalline Hf3ReBi at its relaxed geometry.

Cell: 5.0730 5.0730 5.0730 Å, 90.00 90.00 90.00°
Last column: nearest neighbours and their distance in Å.
Sites, in units of the cell vectors:
Hf: 0.5000 0.0000 0.0000  2 Re 2.54
Re: 0.0000 0.0000 0.0000  6 Hf 2.54
Hf: 0.0000 0.0000 0.5000  2 Re 2.54
Hf: 0.0000 0.5000 0.0000  2 Re 2.54
Bi: 0.5000 0.5000 0.5000  12 Hf 3.59

Summary:
symmetry	Pm-3m
relative energy among the computed polymorphs	0	meV/atom
N(E_F)	8.44	states/eV/cell
total magnetization	0.0	μB/cell

## Hf2ReBi (PBE-GGA)

Data for crystalline Hf2ReBi at its relaxed geometry.

Cell: 3.2840 3.2840 8.1662 Å, 90.00 90.00 90.00°
Last column: nearest neighbours and their distance in Å.
Sites, in units of the cell vectors:
Hf: 0.0000 0.0000 0.1921  4 Re 2.80, 1 Hf 3.14
Hf: 0.0000 0.0000 0.8079  4 Re 2.80, 1 Hf 3.14
Re: 0.5000 0.5000 0.0000  8 Hf 2.80
Bi: 0.5000 0.5000 0.5000  4 Bi 3.28, 8 Hf 3.42

Summary:
symmetry	P4/mmm
N(E_F)	3.13	states/eV/cell
total magnetization	0.0	μB/cell
VASP energy	-9.2389	eV per atom